Below is a relaxed Li2HgRh crystal, with properties calculated at the PBE level.

Structure (extended XYZ):
```
4
Lattice="5.003 0.002 0.013 3.881 3.156 0.013 1.967 0.699 3.932" Properties=species:S:1:pos:R:3 pbc="T T T"
Li 5.493 1.953 1.941
Hg 8.138 2.894 2.969
Li 8.817 3.135 0.064
Rh 2.713 0.965 0.990
```

Output
Total moment ... 0.00 Bohr magnetons per cell
Space-group type ... No. 71
E ... -3.10 eV per atom
Formation energy from the elements ... -0.9 eV/f.u.